# SrMoS2Cl

A geometry-optimized SrMoS2Cl structure (PBE-GGA, the Alexandria database).

```
SrMoS2Cl
1.0
4.7109 0.0000 0.0000
0.0000 4.7109 0.0000
0.0000 0.0000 5.1041
Cl S Mo Sr
1 2 1 1
direct
0.0000 0.0000 0.5000
0.5000 0.0000 0.0000
0.0000 0.5000 0.0000
0.0000 0.0000 0.0000
0.5000 0.5000 0.5000
```

Computed properties:
Mass density, g/cm³: 4.15
SG: P4/mmm, No. 123
Energy above the lowest structure with this stoichiometry, eV per atom: 0.000
Density of states at the Fermi level, states/eV/f.u.: 2.8